Record 1
{
  "formula": "Mg2Br",
  "functional": "PBE",
  "state": "relaxed",
  "cell": [[-3.1220, -5.4642, 1.5810], [-0.7191, -5.8477, -2.7187], [3.9288, 4.8539, 1.7627]],
  "species": ["Br", "Mg", "Mg"],
  "frac_coords": [[0.0000, 0.0000, 0.0000], [0.6718, 0.6718, 0.0000], [0.3282, 0.3282, 0.0000]],
  "raw_formation_energy_ev_per_atom": -0.383,
  "m_tot_mub_per_atom": 0.000,
  "e_above_lowest_polymorph_mev_per_atom": 132
}



Record 2
{
  "formula": "SrMgRu4",
  "functional": "PBE",
  "state": "relaxed",
  "cell": [[-3.6070, -0.9061, 3.8410], [-3.3296, 3.8995, 1.5141], [-5.1954, -0.2944, -1.2273]],
  "species": ["Sr", "Mg", "Ru", "Ru", "Ru", "Ru"],
  "frac_coords": [[0.7500, 0.7500, 0.7500], [0.0000, 0.0000, 0.0000], [0.8773, 0.3742, 0.3742], [0.3742, 0.3742, 0.8773], [0.3742, 0.8773, 0.3742], [0.3742, 0.3742, 0.3742]],
  "ef_mev_per_atom": 311,
  "m_tot_mub_per_atom": 0.448
}



Record 3
{
  "formula": "Sr2LiCl5",
  "functional": "PBE",
  "state": "relaxed",
  "cell": [[-3.4860, 4.2052, -1.4507], [-3.7609, -6.1993, 2.0758], [-0.0902, 4.3377, 12.7912]],
  "species": ["Sr", "Sr", "Sr", "Sr", "Li", "Li", "Cl", "Cl", "Cl", "Cl", "Cl", "Cl", "Cl", "Cl", "Cl", "Cl"],
  "frac_coords": [[0.8544, 0.7089, 0.4312], [0.8544, 0.7089, 0.0688], [0.1456, 0.2911, 0.5688], [0.1456, 0.2911, 0.9312], [0.8227, 0.6454, 0.7500], [0.1773, 0.3546, 0.2500], [0.9483, 0.8967, 0.8772], [0.9483, 0.8967, 0.6228], [0.3057, 0.6114, 0.4228], [0.3057, 0.6114, 0.0772], [0.7443, 0.4886, 0.2500], [0.2557, 0.5114, 0.7500], [0.6943, 0.3886, 0.5772], [0.6943, 0.3886, 0.9228], [0.0517, 0.1033, 0.1228], [0.0517, 0.1033, 0.3772]],
  "raw_formation_energy_ev_per_atom": -2.253,
  "m_tot_mub_per_atom": 0.000,
  "e_above_lowest_polymorph_mev_per_atom": 31
}



Record 4
{
  "formula": "KSn2As",
  "functional": "PBE",
  "state": "relaxed",
  "cell": [[-3.6622, -1.1838, 0.7155], [-0.6868, -2.6660, 2.7831], [-2.5446, 6.3741, 8.2313]],
  "species": ["K", "As", "Sn", "Sn"],
  "frac_coords": [[0.0000, 0.0000, 0.0000], [0.5000, 0.5000, 0.5000], [0.1110, 0.1110, 0.6669], [0.8890, 0.8890, 0.3331]],
  "ef_mev_per_atom": 57,
  "m_tot_mub_per_atom": 0.000
}



Record 5
{
  "formula": "TaIn2Au",
  "functional": "PBE",
  "state": "relaxed",
  "cell": [[-2.6205, -1.6441, -3.7821], [-2.9874, -3.8233, 0.5757], [-4.8421, 0.6488, -0.0832]],
  "species": ["Au", "In", "In", "Ta"],
  "frac_coords": [[0.5000, 0.5000, 0.5000], [0.0000, 0.0000, 0.0000], [0.2500, 0.2500, 0.2500], [0.7500, 0.7500, 0.7500]],
  "ef_mev_per_atom": 464,
  "m_tot_mub_per_atom": 0.443,
  "e_above_lowest_polymorph_mev_per_atom": 394
}



Record 6
{
  "formula": "TiPdCl3",
  "functional": "PBE",
  "state": "relaxed",
  "cell": [[4.7814, 0.0000, 0.0000], [0.0000, 4.7814, 0.0000], [0.0000, 0.0000, 4.7814]],
  "species": ["Cl", "Cl", "Cl", "Pd", "Ti"],
  "frac_coords": [[0.0000, 0.5000, 0.0000], [0.0000, 0.0000, 0.5000], [0.5000, 0.0000, 0.0000], [0.5000, 0.5000, 0.5000], [0.0000, 0.0000, 0.0000]],
  "raw_formation_energy_ev_per_atom": -0.584,
  "m_tot_mub_per_atom": 0.002,
  "e_above_lowest_polymorph_mev_per_atom": 0
}



Record 7
{
  "formula": "DyEr4Ag",
  "functional": "PBE",
  "state": "relaxed",
  "cell": [[-2.0540, 1.5474, 2.3918], [-2.6580, -2.1016, -0.9230], [4.0399, -9.2642, 9.4622]],
  "species": ["Dy", "Er", "Er", "Er", "Er", "Ag"],
  "frac_coords": [[0.0000, 0.0000, 0.0000], [0.5000, 0.5000, 0.8197], [0.5000, 0.5000, 0.1803], [0.0000, 0.0000, 0.6377], [0.0000, 0.0000, 0.3623], [0.5000, 0.5000, 0.5000]],
  "ef_mev_per_atom": -80,
  "m_tot_mub_per_atom": 0.000,
  "e_above_lowest_polymorph_mev_per_atom": 0
}



Record 8
{
  "formula": "Be3BrN",
  "functional": "PBE",
  "state": "relaxed",
  "cell": [[-3.1306, -2.8930, -0.1322], [2.8624, -3.1206, 0.5066], [-0.4404, 0.2831, 4.2324]],
  "species": ["Be", "Be", "Be", "Br", "N"],
  "frac_coords": [[0.0000, 0.5000, 0.0000], [0.0000, 0.0000, 0.5000], [0.5000, 0.0000, 0.0000], [0.0000, 0.0000, 0.0000], [0.5000, 0.5000, 0.5000]],
  "raw_formation_energy_ev_per_atom": 2.373,
  "m_tot_mub_per_atom": 0.212,
  "e_above_lowest_polymorph_mev_per_atom": 1887
}



Record 9
{
  "formula": "SrAc3H8",
  "functional": "PBE",
  "state": "relaxed",
  "cell": [[5.8649, 0.0000, 0.0000], [0.0000, 5.8649, 0.0000], [0.0000, 0.0000, 5.8649]],
  "species": ["Sr", "Ac", "Ac", "Ac", "H", "H", "H", "H", "H", "H", "H", "H"],
  "frac_coords": [[0.0000, 0.0000, 0.0000], [0.5000, 0.5000, 0.0000], [0.5000, 0.0000, 0.5000], [0.0000, 0.5000, 0.5000], [0.2501, 0.2501, 0.7499], [0.2501, 0.7499, 0.2501], [0.7499, 0.2501, 0.2501], [0.7499, 0.7499, 0.7499], [0.7499, 0.7499, 0.2501], [0.7499, 0.2501, 0.7499], [0.2501, 0.7499, 0.7499], [0.2501, 0.2501, 0.2501]],
  "e_tot_ev_per_cell": -47.702,
  "m_tot_mub_per_atom": 0.000
}



Record 10
{
  "formula": "GaGe2PF",
  "functional": "PBE",
  "state": "relaxed",
  "cell": [[-0.2003, -2.6454, 4.1778], [4.9162, 0.3434, 0.4531], [-0.3952, 3.0963, 1.9417]],
  "species": ["P", "Ge", "Ge", "Ga", "F"],
  "frac_coords": [[0.0000, 0.0000, 0.0000], [0.0000, 0.5000, 0.0000], [0.5000, 0.0000, 0.0000], [0.5000, 0.5000, 0.5000], [0.0000, 0.0000, 0.5000]],
  "raw_formation_energy_ev_per_atom": -0.035,
  "m_tot_mub_per_atom": 0.000
}



Record 11
{
  "formula": "YSi2Br",
  "functional": "PBE",
  "state": "relaxed",
  "cell": [[4.9961, 0.0000, 0.0000], [2.4981, 4.3268, 0.0000], [2.4981, 1.4423, 4.0793]],
  "species": ["Br", "Si", "Si", "Y"],
  "frac_coords": [[0.5000, 0.5000, 0.5000], [0.0000, 0.0000, 0.0000], [0.7500, 0.7500, 0.7500], [0.2500, 0.2500, 0.2500]],
  "raw_formation_energy_ev_per_atom": 0.006,
  "m_tot_mub_per_atom": 0.000,
  "e_above_lowest_polymorph_mev_per_atom": 725
}



Record 12
{
  "formula": "MgAl2Hg2",
  "functional": "PBE",
  "state": "relaxed",
  "cell": [[4.0767, 0.0000, 0.0000], [0.0000, 4.0767, 0.0000], [2.0384, 2.0384, 6.4293]],
  "species": ["Mg", "Hg", "Hg", "Al", "Al"],
  "frac_coords": [[0.0000, 0.0000, 0.0000], [0.3924, 0.3924, 0.2152], [0.6076, 0.6076, 0.7848], [0.7500, 0.2500, 0.5000], [0.2500, 0.7500, 0.5000]],
  "ef_mev_per_atom": 60,
  "m_tot_mub_per_atom": 0.000,
  "e_above_lowest_polymorph_mev_per_atom": 0
}